(1)
Here is a relaxed TiSb2Pb crystal from Alexandria. Energies are from PBE.

It has space group R3m (No. 160, hexagonal axes), with a = 3.9418 Å, b = 3.9418 Å, c = 24.1541 Å, α = 90.00°, β = 90.00° and γ = 120.00°. The asymmetric unit holds Ti at (0.0000, 0.0000, 0.0000), Sb at (0.0000, 0.0000, 0.4010), Sb at (0.0000, 0.0000, 0.5971) and Pb at (0.0000, 0.0000, 0.8367).

The uncorrected formation energy comes out at -0.44 eV/f.u. As for the calculated volume: 27.09 Å³ per atom. The total magnetic moment comes out at 0.00 μB per formula unit.



(2)
Here is a relaxed MgTaTc2 crystal from Alexandria. Energies are from PBE.

It has space group Pmmm (No. 47), with a = 3.455 Å, b = 4.147 Å, c = 4.470 Å, α = 90.00°, β = 90.00° and γ = 90.00°. The asymmetric unit holds Mg at (0.000, 0.000, 0.000), Ta at (0.500, 0.000, 0.500), Tc at (0.000, 0.500, 0.500) and Tc at (0.500, 0.500, 0.000).

For the formation enthalpy at 0 K, the calculation gives 0.22 eV per atom. As for the calculated volume: 16.01 Å³ per atom. The total magnetic moment comes out at 0.00 μB per formula unit.



(3)
Here is a relaxed Al2InTc crystal from Alexandria. Energies are from PBE.

It has space group Cm (No. 8), with a = 9.632 Å, b = 2.966 Å, c = 4.801 Å, α = 90.00°, β = 98.83° and γ = 90.00°. The asymmetric unit holds Al at (0.000, 0.000, 0.000), Al at (0.242, 0.000, 0.738), In at (0.476, 0.000, 0.475) and Tc at (0.229, 0.500, 0.208).

For the formation enthalpy at 0 K, the calculation gives 0.06 eV per atom. As for the calculated volume: 16.94 Å³ per atom. The total magnetic moment comes out at 0.78 μB per formula unit.



(4)
Here is a relaxed DySb2Pt9 crystal from Alexandria. Energies are from PBE.

It has space group P4/mmm (No. 123), with a = 4.100 Å, b = 4.100 Å, c = 12.279 Å, α = 90.00°, β = 90.00° and γ = 90.00°. The asymmetric unit holds Dy at (0.000, 0.000, 0.000), Sb at (0.000, 0.000, 0.331), Pt at (0.000, 0.500, 0.170), Pt at (0.000, 0.500, 0.500), Pt at (0.500, 0.500, 0.000) and Pt at (0.500, 0.500, 0.338).

The uncorrected formation energy comes out at -5.55 eV/f.u. As for the calculated volume: 17.20 Å³ per atom. The total magnetic moment comes out at 0.00 μB per formula unit.



Q: calculated volume of number 1 (TiSb2Pb)?
A: 27.09 Å³ per atom



Q: The highest total magnetic moment belongs to which entry?
A: Al2InTc